Material: Tb3Sm3Y
Method: DFT, PBE
State: optimized geometry

For the formation energy, the calculation gives 250 meV/atom. Its total energy is -98.3 eV for the cell shown. The energy above the lowest structure with this stoichiometry comes out at 2.54 kcal/mol of atoms.

The space group is R3m (No. 160, hexagonal axes) and the conventional cell measures 9.9195, 9.9195 and 8.3268 Å, with angles of 90.00, 90.00 and 120.00 degrees. The distinct sites, in fractional coordinates, are Tb at (0.1996, 0.3992, 0.0000), Sm at (0.2144, 0.4288, 0.4260) and Y at (0.0000, 0.0000, 0.0525).